Computed, not measured: an optimized crystal structure of Y2ZrTl3Se6 at the PBE level of DFT.

Summary:
Total energy, eV per atom: -5.348
Symmetry: C2/m (12)
E_form (uncorrected), kJ per mole of atoms: -118

Cell: 7.0518 7.0518 8.2186 Å, 98.24 98.24 119.99°
Last column: nearest neighbours and their distance in Å.
Element x y z (fractional)
Y: 0.1660 0.8340 0.0000  6 Se 2.88-2.89
Y: 0.8340 0.1660 0.0000  6 Se 2.88-2.89
Zr: 0.5000 0.5000 0.0000  6 Se 2.77-2.79
Tl: 0.0000 0.0000 0.5000  6 Se 3.28-3.36
Tl: 0.3287 0.6713 0.5000  6 Se 3.29-3.34
Tl: 0.6713 0.3287 0.5000  6 Se 3.29-3.34
Se: 0.1120 0.4324 0.7968  1 Zr 2.77, 2 Y 2.88-2.89
Se: 0.2489 0.2489 0.2071  1 Zr 2.79, 2 Y 2.89
Se: 0.4324 0.1120 0.7968  1 Zr 2.77, 2 Y 2.88-2.89
Se: 0.5676 0.8880 0.2032  1 Zr 2.77, 2 Y 2.88-2.89
Se: 0.7511 0.7511 0.7929  1 Zr 2.79, 2 Y 2.89
Se: 0.8880 0.5676 0.2032  1 Zr 2.77, 2 Y 2.88-2.89

***

Computed, not measured: an optimized crystal structure of YZrTl2Se4 at the PBE level of DFT.

Summary:
Total energy, eV per atom: -5.366
Symmetry: P2/m (10)
E_form (uncorrected), kJ per mole of atoms: -111

Cell: 6.9663 3.9677 8.3374 Å, 90.00 105.17 90.00°
Last column: nearest neighbours and their distance in Å.
Element x y z (fractional)
Y: 0.0000 0.0000 0.0000  6 Se 2.87-2.88
Zr: 0.5000 0.5000 0.0000  6 Se 2.76-2.77
Tl: 0.0000 0.5000 0.5000  6 Se 3.35-3.39
Tl: 0.5000 0.0000 0.5000  6 Se 3.26-3.30
Se: 0.2454 0.5000 0.2038  1 Zr 2.76, 2 Y 2.87
Se: 0.2812 0.0000 0.8014  2 Zr 2.77, 1 Y 2.88
Se: 0.7188 0.0000 0.1986  2 Zr 2.77, 1 Y 2.88
Se: 0.7546 0.5000 0.7962  1 Zr 2.76, 2 Y 2.87

***

Computed, not measured: an optimized crystal structure of Y2ZrTl2Se6 at the PBE level of DFT.

Summary:
Total energy, eV per atom: -5.660
Symmetry: C2/m (12)
E_form (uncorrected), kJ per mole of atoms: -133

Cell: 7.0296 7.0296 8.2008 Å, 98.47 98.47 119.81°
Last column: nearest neighbours and their distance in Å.
Element x y z (fractional)
Y: 0.1675 0.8325 0.0000  6 Se 2.87-2.88
Y: 0.8325 0.1675 0.0000  6 Se 2.87-2.88
Zr: 0.5000 0.5000 0.0000  6 Se 2.74
Tl: 0.3306 0.6694 0.5000  6 Se 3.28-3.36
Tl: 0.6694 0.3306 0.5000  6 Se 3.28-3.36
Se: 0.1127 0.4297 0.7985  1 Zr 2.74, 2 Y 2.87
Se: 0.2516 0.2516 0.2018  1 Zr 2.74, 2 Y 2.88
Se: 0.4297 0.1127 0.7985  1 Zr 2.74, 2 Y 2.87
Se: 0.5703 0.8873 0.2015  1 Zr 2.74, 2 Y 2.87
Se: 0.7484 0.7484 0.7982  1 Zr 2.74, 2 Y 2.88
Se: 0.8873 0.5703 0.2015  1 Zr 2.74, 2 Y 2.87

***

Computed, not measured: an optimized crystal structure of TlZn2Se at the PBE level of DFT.

Summary:
Total energy, eV per atom: -2.162
Symmetry: Pm (6)
Offset from the most stable computed form, eV per atom: 0.0366
E_form (uncorrected), kJ per mole of atoms: -6

Cell: 4.1776 3.7922 6.4407 Å, 90.00 101.24 90.00°
Last column: nearest neighbours and their distance in Å.
Element x y z (fractional)
Tl: 0.0000 0.0000 0.0000  3 Zn 3.05-3.37
Zn: 0.0859 0.5000 0.6447  2 Zn 2.58, 1 Se 2.60
Zn: 0.4451 0.0000 0.5434  2 Se 2.51, 2 Zn 2.58
Se: 0.5953 0.5000 0.3267  3 Zn 2.51-2.60

***

Computed, not measured: an optimized crystal structure of Tl2ZnSe3 at the PBE level of DFT.

Summary:
Total energy, eV per atom: -3.119
Symmetry: Pnma (62)
E_form (uncorrected), kJ per mole of atoms: -36

Cell: 12.0170 4.0465 14.1356 Å, 90.00 90.00 90.00°
Last column: nearest neighbours and their distance in Å.
Element x y z (fractional)
Tl: 0.0089 0.2500 0.2161  5 Se 2.79-2.89
Tl: 0.1832 0.7500 0.5009  7 Se 3.34-3.52
Tl: 0.3168 0.2500 0.0009  7 Se 3.34-3.52
Tl: 0.4911 0.7500 0.7161  5 Se 2.79-2.89
Tl: 0.5089 0.2500 0.2839  5 Se 2.79-2.89
Tl: 0.6832 0.7500 0.9991  7 Se 3.34-3.52
Tl: 0.8168 0.2500 0.4991  7 Se 3.34-3.52
Tl: 0.9911 0.7500 0.7839  5 Se 2.79-2.89
Zn: 0.2262 0.2500 0.7273  4 Se 2.46-2.56
Zn: 0.2738 0.7500 0.2273  4 Se 2.46-2.56
Zn: 0.7262 0.2500 0.7727  4 Se 2.46-2.56
Zn: 0.7738 0.7500 0.2727  4 Se 2.46-2.56
Se: 0.0380 0.2500 0.6432  1 Zn 2.56
Se: 0.1179 0.7500 0.1144  1 Zn 2.46
Se: 0.2160 0.7500 0.8327  2 Zn 2.52, 1 Tl 2.79
Se: 0.2841 0.2500 0.3327  2 Zn 2.52, 1 Tl 2.79
Se: 0.3821 0.2500 0.6144  1 Zn 2.46
Se: 0.4620 0.7500 0.1432  1 Zn 2.56
Se: 0.5380 0.2500 0.8568  1 Zn 2.56
Se: 0.6179 0.7500 0.3856  1 Zn 2.46
Se: 0.7160 0.7500 0.6673  2 Zn 2.52, 1 Tl 2.79
Se: 0.7840 0.2500 0.1673  2 Zn 2.52, 1 Tl 2.79
Se: 0.8821 0.2500 0.8856  1 Zn 2.46
Se: 0.9620 0.7500 0.3568  1 Zn 2.56

***

Computed, not measured: an optimized crystal structure of TlZn2Se at the PBE level of DFT.

Summary:
Total energy, eV per atom: -2.120
Symmetry: Imm2 (44)
Offset from the most stable computed form, eV per atom: 0.0794
E_form (uncorrected), kJ per mole of atoms: -2

Cell: 6.7184 6.7184 6.7184 Å, 147.16 146.22 47.83°
Last column: nearest neighbours and their distance in Å.
Element x y z (fractional)
Tl: 0.0000 0.0000 0.0000  4 Zn 3.03, 2 Se 3.29
Zn: 0.2292 0.7292 0.5000  4 Se 2.73, 2 Zn 2.76
Zn: 0.3926 0.3926 0.0000  2 Zn 2.76, 2 Se 2.92, 4 Tl 3.03
Se: 0.7157 0.2157 0.5000  6 Zn 2.73-2.92